# 1
# PBE TiCoSi, relaxed
data_TiCoSi
_chemical_formula_sum 'Ti2 Co2 Si2'
_cell_length_a 2.781
_cell_length_b 2.781
_cell_length_c 9.794
_cell_angle_alpha 90.00
_cell_angle_beta 90.00
_cell_angle_gamma 90.00
_symmetry_space_group_name_H-M 'I 4 m m'
_symmetry_Int_Tables_number 107
_symmetry_space_group_name_Hall 'I 4 -2'
loop_
_atom_site_label
_atom_site_fract_x
_atom_site_fract_y
_atom_site_fract_z
Ti1 0.000 0.000 0.000
Co1 0.000 0.000 0.318
Si1 0.000 0.000 0.687
# magnetic moment = 0.0 μB per cell
# E_tot = -44.1 eV for the cell shown
# uncorrected formation energy = -0.54 eV per atom


# 2
# PBE BaBiMoP2, relaxed
data_BaBiMoP2
_chemical_formula_sum 'Ba1 Bi1 Mo1 P2'
_cell_length_a 5.489
_cell_length_b 5.489
_cell_length_c 5.849
_cell_angle_alpha 90.00
_cell_angle_beta 90.00
_cell_angle_gamma 90.00
_symmetry_space_group_name_H-M 'P 4/m m m'
_symmetry_Int_Tables_number 123
_symmetry_space_group_name_Hall '-P 4 2'
loop_
_atom_site_label
_atom_site_fract_x
_atom_site_fract_y
_atom_site_fract_z
Ba1 0.000 0.000 0.000
Bi1 0.500 0.500 0.500
Mo1 0.000 0.000 0.500
P1 0.000 0.500 0.000
# magnetic moment = 4.5 μB per cell
# E_tot = -17.8 eV for the cell shown


# 3
# PBE TlSnP, relaxed
data_TlSnP
_chemical_formula_sum 'Tl4 Sn4 P4'
_cell_length_a 6.806
_cell_length_b 3.932
_cell_length_c 12.305
_cell_angle_alpha 90.00
_cell_angle_beta 90.03
_cell_angle_gamma 90.00
_symmetry_space_group_name_H-M 'C 1 m 1'
_symmetry_Int_Tables_number 8
_symmetry_space_group_name_Hall 'C -2y'
loop_
_atom_site_label
_atom_site_fract_x
_atom_site_fract_y
_atom_site_fract_z
Tl1 0.000 0.000 0.000
Tl2 0.165 0.500 0.236
Sn1 0.167 0.500 0.721
Sn2 0.332 0.000 0.512
P1 0.334 0.000 0.835
P2 0.499 0.500 0.400
# magnetic moment = 0.0 μB per cell
# E_tot = -47.1 eV for the cell shown